[1]
Entry from Alexandria: LiLaCeGe after structural relaxation (PBE-GGA).

## Properties
**Space-group type**: F-43m (216)

Unit cell a=5.235 b=5.235 c=5.235 alpha=60.00 beta=60.00 gamma=60.00
Positions (direct):
Ge (0.750, 0.750, 0.750)
Li (0.250, 0.250, 0.250)
Ce (0.000, 0.000, 0.000)
La (0.500, 0.500, 0.500)

***

[2]
Entry from Alexandria: K2CaZn after structural relaxation (PBE-GGA).

## Properties
**Space-group type**: Pm (6)

Unit cell a=4.257 b=4.308 c=10.583 alpha=78.42 beta=90.00 gamma=90.00
Positions (direct):
Ca (0.500, 0.734, 0.655)
K (0.000, 0.089, 0.947)
K (0.500, 0.411, 0.312)
Zn (0.000, 0.267, 0.587)

***

[3]
Entry from Alexandria: La3Pm2Y6Tm after structural relaxation (PBE-GGA).

## Properties
**Space-group type**: C2/m (12)

Unit cell a=6.281 b=6.281 c=11.928 alpha=95.03 beta=95.03 gamma=120.01
Positions (direct):
La (0.167, 0.833, 0.500)
La (0.833, 0.167, 0.500)
La (0.500, 0.500, 0.500)
Pm (0.334, 0.666, 0.000)
Pm (0.666, 0.334, 0.000)
Y (0.918, 0.586, 0.754)
Y (0.749, 0.749, 0.246)
Y (0.082, 0.414, 0.246)
Y (0.586, 0.918, 0.754)
Y (0.251, 0.251, 0.754)
Y (0.414, 0.082, 0.246)
Tm (0.000, 0.000, 0.000)

***

Number 1: E_form -0.317 eV per atom, theoretical density 5.87 Mg/m³. Number 2: E_form 0.047 eV per atom, theoretical density 1.60 Mg/m³. Number 3: E_form 0.015 eV per atom, theoretical density 5.83 Mg/m³.